# La6SnIr2, relaxed, DFT PBE
# energy relative to the elements	-0.5481	eV/atom
# DFT total energy	-112.44	eV for the cell shown
data_La6SnIr2
_chemical_formula_sum 'La12 Sn2 Ir4'
_space_group_name_H-M_alt 'C 1 2/m 1'
_space_group_IT_number 12
_cell_length_a 11.309
_cell_length_b 5.019
_cell_length_c 9.454
_cell_angle_alpha 90.00
_cell_angle_beta 94.78
_cell_angle_gamma 90.00
loop_
_space_group_symop_operation_xyz
'x,y,z'
'-x,-y,-z'
'-x,y,-z'
'x,-y,z'
'x+1/2,y+1/2,z'
'-x+1/2,-y+1/2,-z'
'-x+1/2,y+1/2,-z'
'x+1/2,-y+1/2,z'
loop_
_atom_site_label
_atom_site_type_symbol
_atom_site_fract_x
_atom_site_fract_y
_atom_site_fract_z
La1 La 0.089 0.000 0.358
La2 La 0.109 0.500 0.670
La3 La 0.197 0.500 0.105
Sn1 Sn 0.000 0.000 0.000
Ir1 Ir 0.243 0.500 0.387


# LaSnIr, relaxed, DFT PBE
# energy relative to the elements	-0.4696	eV/atom
# DFT total energy	-38.40	eV for the cell shown
data_LaSnIr
_chemical_formula_sum 'La2 Sn2 Ir2'
_space_group_name_H-M_alt 'I 4 m m'
_space_group_IT_number 107
_space_group_name_Hall 'I 4 -2'
_cell_length_a 3.426
_cell_length_b 3.426
_cell_length_c 11.897
_cell_angle_alpha 90.00
_cell_angle_beta 90.00
_cell_angle_gamma 90.00
loop_
_atom_site_label
_atom_site_type_symbol
_atom_site_fract_x
_atom_site_fract_y
_atom_site_fract_z
La1 La 0.000 0.000 0.000
Sn1 Sn 0.000 0.000 0.286
Ir1 Ir 0.000 0.000 0.664


# La7Sn2Ir2, relaxed, DFT PBE
# energy relative to the elements	-0.5632	eV/atom
# DFT total energy	-132.83	eV for the cell shown
data_La7Sn2Ir2
_chemical_formula_sum 'La14 Sn4 Ir4'
_space_group_name_H-M_alt 'C m m m'
_space_group_IT_number 65
_space_group_name_Hall '-C 2 2'
_cell_length_a 8.502
_cell_length_b 11.650
_cell_length_c 7.256
_cell_angle_alpha 90.00
_cell_angle_beta 90.00
_cell_angle_gamma 90.00
loop_
_atom_site_label
_atom_site_type_symbol
_atom_site_fract_x
_atom_site_fract_y
_atom_site_fract_z
La1 La 0.000 0.000 0.000
La2 La 0.000 0.500 0.231
La3 La 0.250 0.250 0.255
Sn1 Sn 0.174 0.000 0.500
Ir1 Ir 0.000 0.278 0.000


# La6SnIr, relaxed, DFT PBE
# energy relative to the elements	-0.3421	eV/atom
# DFT total energy	-90.33	eV for the cell shown
data_La6SnIr
_chemical_formula_sum 'La12 Sn2 Ir2'
_space_group_name_H-M_alt 'C 1 2/m 1'
_space_group_IT_number 12
_cell_length_a 8.420
_cell_length_b 10.255
_cell_length_c 6.645
_cell_angle_alpha 90.00
_cell_angle_beta 106.31
_cell_angle_gamma 90.00
loop_
_space_group_symop_operation_xyz
'x,y,z'
'-x,-y,-z'
'-x,y,-z'
'x,-y,z'
'x+1/2,y+1/2,z'
'-x+1/2,-y+1/2,-z'
'-x+1/2,y+1/2,-z'
'x+1/2,-y+1/2,z'
loop_
_atom_site_label
_atom_site_type_symbol
_atom_site_fract_x
_atom_site_fract_y
_atom_site_fract_z
La1 La 0.104 0.199 0.297
La2 La 0.203 0.500 0.105
Sn1 Sn 0.000 0.500 0.500
Ir1 Ir 0.000 0.000 0.000


Number 1: N(E_F) 17.088 states/eV/cell. Number 2: N(E_F) 6.336 states/eV/cell. Number 3: N(E_F) 26.800 states/eV/cell. Number 4: N(E_F) 19.936 states/eV/cell.